1.
Entry from the Alexandria database: a geometry-optimized ReH3 structure (PBE).

Summary:
Space-group type: P6_3/mmc (194)
Excess energy over the best structure of this formula in the dataset in meV/atom: 0

a = 4.3518 Å, b = 4.3518 Å, c = 2.9170 Å
α = 90.00°, β = 90.00°, γ = 120.00°
Last column: nearest neighbours and their distance in Å.
Atoms (fractional coordinates):
Re 0.3333 0.6667 0.2500  6 H 1.93
Re 0.6667 0.3333 0.7500  6 H 1.93
H 0.1660 0.3320 0.7500  4 H 1.92, 2 Re 1.93
H 0.1660 0.8340 0.7500  4 H 1.92, 2 Re 1.93
H 0.3320 0.1660 0.2500  4 H 1.92, 2 Re 1.93
H 0.6680 0.8340 0.7500  4 H 1.92, 2 Re 1.93
H 0.8340 0.1660 0.2500  4 H 1.92, 2 Re 1.93
H 0.8340 0.6680 0.2500  4 H 1.92, 2 Re 1.93

---

2.
Entry from the Alexandria database: a geometry-optimized BaLa2Y structure (PBE).

Summary:
Space-group type: I-4m2 (119)
Energy of formation in eV per atom: 0.191
Excess energy over the best structure of this formula in the dataset in meV/atom: 84

a = 6.5753 Å, b = 6.5753 Å, c = 6.5753 Å
α = 131.20°, β = 131.20°, γ = 71.50°
Last column: nearest neighbours and their distance in Å.
Atoms (fractional coordinates):
Ba 0.0000 0.0000 0.0000  8 La 3.81-3.84, 4 Y 3.81
La 0.2500 0.7500 0.5000  4 La 3.81, 4 Ba 3.81, 4 Y 3.84
La 0.5000 0.5000 0.0000  4 La 3.81, 4 Y 3.81, 4 Ba 3.84
Y 0.7500 0.2500 0.5000  8 La 3.81-3.84, 4 Ba 3.81

---

3.
Entry from the Alexandria database: a geometry-optimized Ce2SeI2O structure (PBE).

Summary:
Space-group type: Pmc2_1 (26)
Formation energy (no corrections) in eV/atom: -2.050

a = 4.1134 Å, b = 12.1697 Å, c = 8.1590 Å
α = 90.00°, β = 90.00°, γ = 90.00°
Last column: nearest neighbours and their distance in Å.
Atoms (fractional coordinates):
Ce 0.0000 0.0555 0.0000  1 O 2.25
Ce 0.0000 0.9445 0.5000  1 O 2.25
Ce 0.5000 0.2046 0.4461  2 O 2.29
Ce 0.5000 0.7954 0.9461  2 O 2.29
Se 0.5000 0.0419 0.7292  5 Ce 3.02-3.04, 4 O 3.29-3.35
Se 0.5000 0.9581 0.2292  5 Ce 3.02-3.04, 4 O 3.29-3.35
I 0.0000 0.3881 0.5702  2 Ce 3.20, 1 O 3.43
I 0.0000 0.6119 0.0702  2 Ce 3.20, 1 O 3.43
I 0.5000 0.2685 0.0635  3 Ce 3.22-3.35
I 0.5000 0.7315 0.5635  3 Ce 3.22-3.35
O 0.0000 0.1226 0.4274  3 Ce 2.25-2.29
O 0.0000 0.8774 0.9274  3 Ce 2.25-2.29

---

4.
Entry from the Alexandria database: a geometry-optimized LaNdLuMg structure (PBE).

Summary:
Space-group type: F-43m (216)
Energy of formation in eV per atom: -0.004

a = 5.6121 Å, b = 5.6121 Å, c = 5.6121 Å
α = 60.00°, β = 60.00°, γ = 60.00°
Last column: nearest neighbours and their distance in Å.
Atoms (fractional coordinates):
La 0.0000 0.0000 0.0000  4 Lu 3.44, 4 Mg 3.44
Nd 0.5000 0.5000 0.5000  4 Lu 3.44, 4 Mg 3.44
Lu 0.7500 0.7500 0.7500  4 Nd 3.44, 4 La 3.44
Mg 0.2500 0.2500 0.2500  4 La 3.44, 4 Nd 3.44

---

5.
Entry from the Alexandria database: a geometry-optimized LiScPdF2 structure (PBE).

Summary:
Space-group type: P4/mmm (123)
Formation energy (no corrections) in eV/atom: -2.048

a = 4.0264 Å, b = 4.0264 Å, c = 5.4582 Å
α = 90.00°, β = 90.00°, γ = 90.00°
Last column: nearest neighbours and their distance in Å.
Atoms (fractional coordinates):
Li 0.0000 0.0000 0.0000  4 Pd 2.85
Sc 0.5000 0.5000 0.5000  4 F 2.01
Pd 0.5000 0.5000 0.0000  2 Sc 2.73, 4 Li 2.85
F 0.0000 0.5000 0.5000  2 Sc 2.01
F 0.5000 0.0000 0.5000  2 Sc 2.01

---

6.
Entry from the Alexandria database: a geometry-optimized Pa2H3 structure (PBE).

Summary:
Space-group type: P-3m1 (164)
Raw total energy in eV for the cell shown: -30.18

a = 3.3182 Å, b = 3.3182 Å, c = 6.5723 Å
α = 90.00°, β = 90.00°, γ = 120.00°
Last column: nearest neighbours and their distance in Å.
Atoms (fractional coordinates):
Pa 0.3333 0.6667 0.2616  7 H 2.24-2.48
Pa 0.6667 0.3333 0.7384  7 H 2.24-2.48
H 0.0000 0.0000 0.5000  6 Pa 2.48
H 0.3333 0.6667 0.9150  3 H 2.22, 4 Pa 2.24-2.28
H 0.6667 0.3333 0.0850  3 H 2.22, 4 Pa 2.24-2.28

---

7.
Entry from the Alexandria database: a geometry-optimized K2SiAu6 structure (PBE).

Summary:
Space-group type: Fm-3m (225)
Formation energy (no corrections) in eV/atom: -0.159

a = 6.5606 Å, b = 6.5606 Å, c = 6.5606 Å
α = 60.00°, β = 60.00°, γ = 60.00°
Last column: nearest neighbours and their distance in Å.
Atoms (fractional coordinates):
K 0.2500 0.2500 0.2500  12 Au 3.29
K 0.7500 0.7500 0.7500  12 Au 3.29
Si 0.0000 0.0000 0.0000  6 Au 2.53
Au 0.2722 0.2722 0.7278  1 Si 2.53
Au 0.2722 0.7278 0.2722  1 Si 2.53
Au 0.2722 0.7278 0.7278  1 Si 2.53
Au 0.7278 0.2722 0.2722  1 Si 2.53
Au 0.7278 0.2722 0.7278  1 Si 2.53
Au 0.7278 0.7278 0.2722  1 Si 2.53

---

8.
Entry from the Alexandria database: a geometry-optimized In2PdPt6 structure (PBE).

Summary:
Space-group type: Immm (71)
Energy of formation in eV per atom: -0.180
Excess energy over the best structure of this formula in the dataset in meV/atom: 0

a = 7.3345 Å, b = 7.3345 Å, c = 7.3345 Å
α = 145.03°, β = 135.05°, γ = 58.18°
Last column: nearest neighbours and their distance in Å.
Atoms (fractional coordinates):
In 0.1555 0.1555 0.0000  8 Pt 2.73-2.89
In 0.8445 0.8445 0.0000  8 Pt 2.73-2.89
Pd 0.5000 0.0000 0.5000  10 Pt 2.69-2.90
Pt 0.1578 0.3971 0.7606  6 Pt 2.64-2.92, 2 In 2.73, 2 Pd 2.90
Pt 0.2898 0.7898 0.5000  1 Pd 2.69, 4 In 2.80-2.89, 6 Pt 2.81-2.92
Pt 0.3635 0.6029 0.7606  6 Pt 2.64-2.92, 2 In 2.73, 2 Pd 2.90
Pt 0.6365 0.3971 0.2394  6 Pt 2.64-2.92, 2 In 2.73, 2 Pd 2.90
Pt 0.7102 0.2102 0.5000  1 Pd 2.69, 4 In 2.80-2.89, 6 Pt 2.81-2.92
Pt 0.8422 0.6029 0.2394  6 Pt 2.64-2.92, 2 In 2.73, 2 Pd 2.90

---

Result set for M_tot: 0.00, 0.00, 0.03, 0.00, 0.00, 0.00, 0.00, 0.00 μB per atom, one per record in the order listed.
Result set for calculated density: 13.1, 5.3, 5.1, 6.4, 3.7, 12.3, 10.7, 15.8 g cm⁻³, one per record in the order listed.